MgCuSb2P, relaxed, DFT PBE; calculated volume = 124.8 Å³ per cell; DOS(E_F) = 2.836 states/eV per cell; final energy = -3.58 eV per atom; space group = P4/mmm, No. 123; formation energy without anion corrections = 285 meV per atom
1.0
-2.661 0.537 4.745
-1.171 -4.005 -0.204
4.523 -1.459 2.701
Sb Mg Cu P
2 1 1 1
Cartesian
2.261 -0.730 1.351
-1.330 0.268 2.372
0.345 -2.464 3.621
-0.585 -2.003 -0.102
0.000 0.000 0.000